# 1
{"formula": "PmTm2Pu3Te6", "functional": "PBE-GGA", "state": "relaxed", "lattice_angstrom": [[9.577, -2.190, 0.000], [9.577, 2.190, 0.000], [-1.979, 0.000, 8.581]], "species": ["Pm", "Tm", "Tm", "Pu", "Pu", "Pu", "Te", "Te", "Te", "Te", "Te", "Te"], "frac_coords": [[0.000, 0.000, 0.000], [0.334, 0.334, 0.666], [0.666, 0.666, 0.334], [0.000, 0.000, 0.500], [0.336, 0.336, 0.165], [0.664, 0.664, 0.835], [0.169, 0.169, 0.092], [0.170, 0.170, 0.579], [0.497, 0.497, 0.745], [0.503, 0.503, 0.255], [0.830, 0.830, 0.421], [0.831, 0.831, 0.908]], "dos_at_fermi_per_ev_cell": 33.8, "final_energy_ev_per_cell": -89.8}

=====

# 2
{"formula": "LiTeAs2", "functional": "PBE-GGA", "state": "relaxed", "lattice_angstrom": [[1.599, 0.923, 9.249], [-1.599, 0.923, 9.249], [0.000, -1.846, 9.249]], "species": ["Li", "Te", "As", "As"], "frac_coords": [[0.000, 0.000, 0.000], [0.500, 0.500, 0.500], [0.259, 0.259, 0.259], [0.741, 0.741, 0.741]], "dos_at_fermi_per_ev_cell": 2.6, "final_energy_ev_per_cell": -13.5}

=====

# 3
{"formula": "TlInP2O8", "functional": "PBE-GGA", "state": "relaxed", "lattice_angstrom": [[2.430, 1.403, 7.263], [-2.430, 1.403, 7.263], [0.000, -2.805, 7.263]], "species": ["Tl", "In", "P", "P", "O", "O", "O", "O", "O", "O", "O", "O"], "frac_coords": [[0.000, 0.000, 0.000], [0.500, 0.500, 0.500], [0.249, 0.249, 0.249], [0.751, 0.751, 0.751], [0.074, 0.467, 0.775], [0.225, 0.926, 0.533], [0.322, 0.322, 0.322], [0.467, 0.775, 0.074], [0.533, 0.225, 0.926], [0.678, 0.678, 0.678], [0.775, 0.074, 0.467], [0.926, 0.533, 0.225]], "dos_at_fermi_per_ev_cell": 8.1, "final_energy_ev_per_cell": -75.1}

=====

# 4
{"formula": "La2CrNiN", "functional": "PBE-GGA", "state": "relaxed", "lattice_angstrom": [[5.196, 0.000, 0.000], [0.000, 5.196, 0.000], [0.000, 0.000, 3.771]], "species": ["La", "La", "Cr", "Ni", "N"], "frac_coords": [[0.000, 0.500, 0.000], [0.500, 0.000, 0.000], [0.000, 0.000, 0.500], [0.500, 0.500, 0.500], [0.000, 0.000, 0.000]], "dos_at_fermi_per_ev_cell": 2.3, "final_energy_ev_per_cell": -36.0}

=====

# 5
{"formula": "TlTe2Pd", "functional": "PBE-GGA", "state": "relaxed", "lattice_angstrom": [[2.051, 1.184, 7.786], [-2.051, 1.184, 7.786], [0.000, -2.368, 7.786]], "species": ["Tl", "Te", "Te", "Pd"], "frac_coords": [[0.000, 0.000, 0.000], [0.228, 0.228, 0.228], [0.441, 0.441, 0.441], [0.834, 0.834, 0.834]], "polymorph_energy_mev_per_atom": 5.8, "dos_at_fermi_per_ev_cell": 2.9}

=====

# 6
{"formula": "BaIrCl2", "functional": "PBE-GGA", "state": "relaxed", "lattice_angstrom": [[-1.750, 2.016, 7.949], [1.750, -2.016, 7.949], [1.750, 2.016, -7.949]], "species": ["Ba", "Ir", "Cl", "Cl"], "frac_coords": [[0.000, 0.000, 0.000], [0.836, 0.336, 0.500], [0.336, 0.836, 0.500], [0.596, 0.596, 0.000]], "polymorph_energy_mev_per_atom": 336.2, "dos_at_fermi_per_ev_cell": 2.9}

=====

# 7
{"formula": "LiAlRu2", "functional": "PBE-GGA", "state": "relaxed", "lattice_angstrom": [[1.384, 0.799, 8.441], [-1.384, 0.799, 8.441], [0.000, -1.599, 8.441]], "species": ["Li", "Al", "Ru", "Ru"], "frac_coords": [[0.000, 0.000, 0.000], [0.500, 0.500, 0.500], [0.246, 0.246, 0.246], [0.754, 0.754, 0.754]], "dos_at_fermi_per_ev_cell": 2.3, "delta_e_f_ev_per_atom": -0.103}

=====

# 8
{"formula": "BiC2Cl", "functional": "PBE-GGA", "state": "relaxed", "lattice_angstrom": [[-2.520, 2.520, 6.095], [2.520, -2.520, 6.095], [2.520, 2.520, -6.095]], "species": ["Bi", "Bi", "C", "C", "C", "C", "Cl", "Cl"], "frac_coords": [[0.000, 0.000, 0.000], [0.750, 0.250, 0.500], [0.158, 0.625, 0.033], [0.375, 0.408, 0.533], [0.592, 0.125, 0.967], [0.875, 0.842, 0.467], [0.250, 0.750, 0.500], [0.500, 0.500, 0.000]], "polymorph_energy_mev_per_atom": 0.0, "dos_at_fermi_per_ev_cell": 2.1}

=====

Number 1: size of the total moment 5.98 Bohr magnetons per cell. Number 2: size of the total moment 0.00 Bohr magnetons per cell. Number 3: size of the total moment 0.00 Bohr magnetons per cell. Number 4: size of the total moment 2.63 Bohr magnetons per cell. Number 5: size of the total moment 0.00 Bohr magnetons per cell. Number 6: size of the total moment 0.00 Bohr magnetons per cell. Number 7: size of the total moment 0.00 Bohr magnetons per cell. Number 8: size of the total moment 0.00 Bohr magnetons per cell.